The following is a DFT calculation (PBE) of Tb2CeHo5Tm after structural relaxation.

Cell lengths 11.0845, 11.0845, 9.4845 Å; angles 90.00, 90.00, 150.41 degrees
Element x y z (fractional)
Tb (0.1138, 0.8862, 0.5000)
Tb (0.1332, 0.8668, 0.8858)
Tb (0.8668, 0.1332, 0.3858)
Tb (0.8862, 0.1138, 0.0000)
Ce (0.1903, 0.8097, 0.1971)
Ce (0.8097, 0.1903, 0.6971)
Ho (0.0139, 0.9861, 0.1898)
Ho (0.2670, 0.7330, 0.5107)
Ho (0.3064, 0.6936, 0.8920)
Ho (0.3947, 0.6053, 0.2239)
Ho (0.4714, 0.5286, 0.9255)
Ho (0.5286, 0.4714, 0.4255)
Ho (0.6053, 0.3947, 0.7239)
Ho (0.6936, 0.3064, 0.3920)
Ho (0.7330, 0.2670, 0.0107)
Ho (0.9861, 0.0139, 0.6898)
Tm (0.4029, 0.5971, 0.6077)
Tm (0.5971, 0.4029, 0.1077)

Computed properties:
Calculated formation energy (eV per atom): 0.169
N(E_F) (states/eV/atom): 1.7094
Magnetic moment (μB per formula unit): 0.54
Crystal system: orthorhombic

=====

The following is a DFT calculation (PBE) of AcGa2Hg2 after structural relaxation.

Cell lengths 6.4591, 6.4436, 4.6949 Å; angles 68.84, 68.49, 42.68 degrees
Element x y z (fractional)
Ac (0.0000, 0.0000, 0.0000)
Ga (0.3869, 0.3869, 0.6131)
Ga (0.6131, 0.6131, 0.3869)
Hg (0.2500, 0.2500, 0.2500)
Hg (0.7500, 0.7500, 0.7500)

Computed properties:
Calculated formation energy (eV per atom): -0.420
N(E_F) (states/eV/atom): 0.2662
Magnetic moment (μB per formula unit): 0.00
Crystal system: orthorhombic